[1]
YHRh3 GGA-PBE relaxed; space-group type = Cmcm (63); E_tot = -0.2408 Ha/atom
1.0
2.8379 -4.8498 0.0000
2.8379 4.8498 0.0000
0.0000 0.0000 5.4461
Y H Rh
2 2 6
Cartesian
2.8379 4.0488 4.0846 Y
2.8379 -4.0488 1.3615 Y
2.8379 1.1726 4.0846 H
2.8379 -1.1726 1.3615 H
1.2559 1.8768 4.0846 Rh
1.2559 -1.8768 1.3615 Rh
2.8379 0.0000 0.0000 Rh
2.8379 0.0000 2.7231 Rh
4.4199 1.8768 4.0846 Rh
4.4199 -1.8768 1.3615 Rh

***

[2]
CsLi2Tl GGA-PBE relaxed; energy of formation from the pure elements = -58 meV per atom; space-group type = R-3m (166); E_tot = -0.0669 Ha/atom
1.0
2.5018 1.4444 6.9023
-2.5018 1.4444 6.9023
0.0000 -2.8888 6.9023
Cs Li Tl
1 2 1
Cartesian
0.0000 0.0000 0.0000 Cs
0.0000 0.0000 3.7432 Li
0.0000 0.0000 16.9637 Li
0.0000 0.0000 10.3534 Tl

***

[3]
Ce5Ge4Se GGA-PBE relaxed; formation energy from raw total energies = -0.919 eV/atom; space-group type = Immm (71); E_tot = -0.2235 Ha/atom
1.0
-2.1183 2.9892 10.5781
2.1183 -2.9892 10.5781
2.1183 2.9892 -10.5781
Ce Ge Se
5 4 1
Cartesian
0.0000 0.0000 0.0000 Ce
0.0000 0.0000 4.2297 Ce
0.0000 0.0000 8.4513 Ce
0.0000 0.0000 12.7049 Ce
0.0000 0.0000 16.9265 Ce
2.1183 0.0000 2.1006 Ge
2.1183 0.0000 6.3379 Ge
0.0000 2.9892 4.2401 Ge
0.0000 2.9892 8.4775 Ge
0.0000 2.9892 0.0000 Se

***

[4]
La2PmTh GGA-PBE relaxed; energy of formation from the pure elements = 57 meV per atom; space-group type = P4/mmm (123); E_tot = -0.2002 Ha/atom
1.0
5.1626 0.0000 0.0000
0.0000 5.1626 0.0000
0.0000 0.0000 5.1784
La Pm Th
2 1 1
Cartesian
0.0000 2.5813 0.0000 La
2.5813 0.0000 0.0000 La
0.0000 0.0000 2.5892 Pm
2.5813 2.5813 2.5892 Th

***

[5]
BiPd23Pt6 GGA-PBE relaxed; energy of formation from the pure elements = 25 meV per atom; space-group type = I4/mmm (139); E_tot = -0.1945 Ha/atom
1.0
-3.9510 3.9510 7.8497
3.9510 -3.9510 7.8497
3.9510 3.9510 -7.8497
Bi Pd Pt
1 23 6
Cartesian
0.0000 0.0000 0.0000 Bi
1.9755 1.9755 -3.9248 Pd
1.9755 -1.9755 3.9248 Pd
3.9510 0.0000 0.0000 Pd
3.9510 1.9712 -2.0132 Pd
3.9510 -1.9188 5.8132 Pd
2.0322 0.0000 2.0364 Pd
5.8698 0.0000 2.0364 Pd
1.9712 3.9510 -2.0132 Pd
1.9798 0.0000 5.8365 Pd
3.9510 1.9712 2.0132 Pd
0.0000 2.0322 2.0364 Pd
-1.9755 1.9755 3.9248 Pd
0.0000 3.9510 0.0000 Pd
0.0000 0.0000 7.8497 Pd
1.9755 1.9755 3.9248 Pd
3.9510 1.9188 5.8132 Pd
0.0000 1.9798 5.8365 Pd
1.9712 3.9510 2.0132 Pd
1.9798 0.0000 9.8629 Pd
-1.9188 3.9510 5.8132 Pd
1.9188 3.9510 5.8132 Pd
0.0000 5.8698 2.0364 Pd
0.0000 1.9798 9.8629 Pd
0.0000 0.0000 3.9163 Pt
2.0119 2.0119 0.0000 Pt
1.9391 -1.9391 7.8497 Pt
-1.9391 1.9391 7.8497 Pt
1.9391 1.9391 7.8497 Pt
0.0000 0.0000 11.7831 Pt

***

[6]
Sr2FeS GGA-PBE relaxed; formation energy from raw total energies = -0.182 eV/atom; space-group type = I-42d (122); E_tot = -0.1533 Ha/atom
1.0
-3.9987 3.9987 4.0599
3.9987 -3.9987 4.0599
3.9987 3.9987 -4.0599
Sr Fe S
4 2 2
Cartesian
5.9981 1.7726 -1.0150 Sr
1.7726 1.9994 1.0150 Sr
-1.9994 2.2261 3.0449 Sr
2.2261 1.9994 5.0749 Sr
3.9987 0.0000 2.0300 Fe
0.0000 0.0000 4.0599 Fe
0.0000 0.0000 0.0000 S
0.0000 3.9987 2.0300 S

***

[7]
La2AgPd GGA-PBE relaxed; energy of formation from the pure elements = -445 meV per atom; space-group type = R3m (160); E_tot = -0.1808 Ha/atom
1.0
2.1519 1.2424 7.4583
-2.1519 1.2424 7.4583
0.0000 -2.4848 7.4583
La Ag Pd
2 1 1
Cartesian
0.0000 0.0000 0.0000 La
0.0000 0.0000 4.1551 La
0.0000 0.0000 9.5543 Ag
0.0000 0.0000 13.2365 Pd

***

[8]
Dy8Y6Tm GGA-PBE relaxed; energy of formation from the pure elements = 120 meV per atom; space-group type = R-3 (148); E_tot = -0.1918 Ha/atom
1.0
4.5169 2.6079 6.8526
-4.5169 2.6079 6.8526
0.0000 -5.2157 6.8526
Dy Y Tm
8 6 1
Cartesian
0.0000 0.0000 1.5712 Dy
-0.1140 -1.9680 7.3736 Dy
-1.6474 1.0828 7.3736 Dy
-1.7614 -0.8853 13.1841 Dy
1.7614 0.8853 7.3736 Dy
1.6474 -1.0828 13.1841 Dy
0.1140 1.9680 13.1841 Dy
0.0000 0.0000 18.9865 Dy
-3.1209 -1.1469 9.4445 Y
-0.5671 -3.2762 11.1132 Y
-2.5537 2.1293 11.1132 Y
2.5537 -2.1293 9.4445 Y
0.5671 3.2762 9.4445 Y
3.1209 1.1469 11.1131 Y
0.0000 0.0000 10.2788 Tm

***

Magnetic moment across the listed records, respectively: 0.00, 0.00, 1.71, 0.00, 0.01, 2.21, 0.00, 0.00 μB/f.u..